MgZnTcSn2 | PBE-GGA | relaxed

## Properties
* calculated total energy: -3.4234 eV per atom
* space-group type: P4/mmm, No. 123
* DOS at the Fermi energy: 3.03 states/eV/f.u.
* spin magnetization: 2.5 μB/f.u.

Unit cell a=5.0859 b=5.0859 c=4.8900 alpha=90.00 beta=90.00 gamma=90.00
Last column: nearest neighbours and their distance in Å.
Sites, in units of the cell vectors:
Mg (0.0000, 0.0000, 0.0000)  8 Sn 3.53, 4 Tc 3.60
Zn (0.5000, 0.5000, 0.5000)  2 Tc 2.44, 4 Sn 2.54
Tc (0.5000, 0.5000, 0.0000)  2 Zn 2.44
Sn (0.0000, 0.5000, 0.5000)  2 Zn 2.54
Sn (0.5000, 0.0000, 0.5000)  2 Zn 2.54

---

BeSe2IN | PBE-GGA | relaxed

## Properties
* calculated total energy: -2.4889 eV per atom
* energy relative to the lowest polymorph listed for this composition: 940 meV/atom
* space-group type: P4/mmm, No. 123
* DOS at the Fermi energy: 3.88 states/eV/f.u.
* spin magnetization: 0.0 μB/f.u.
* formation energy without anion corrections: 1.625 eV per atom

Unit cell a=5.4550 b=5.4550 c=3.9259 alpha=90.00 beta=90.00 gamma=90.00
Last column: nearest neighbours and their distance in Å.
Sites, in units of the cell vectors:
Be (0.0000, 0.0000, 0.0000)  8 Se 3.36
Se (0.0000, 0.5000, 0.5000)  2 I 2.73
Se (0.5000, 0.0000, 0.5000)  2 I 2.73
I (0.5000, 0.5000, 0.5000)  2 N 1.96
N (0.5000, 0.5000, 0.0000)  2 I 1.96

---

PSe2S4 | PBE-GGA | relaxed

## Properties
* calculated total energy: -4.0316 eV per atom
* energy relative to the lowest polymorph listed for this composition: 0 meV/atom
* space-group type: Cc, No. 9
* DOS at the Fermi energy: 1.64 states/eV/f.u.
* spin magnetization: 0.0 μB/f.u.
* formation energy without anion corrections: 0.095 eV per atom

Unit cell a=7.1659 b=7.1659 c=9.3109 alpha=109.17 beta=109.17 gamma=87.14
Last column: nearest neighbours and their distance in Å.
Sites, in units of the cell vectors:
P (0.1368, 0.8632, 0.5000)  4 S 1.97-2.18
P (0.8632, 0.1368, 0.0000)  4 S 1.97-2.18
Se (0.2761, 0.8572, 0.0552)  1 S 2.15
Se (0.5692, 0.7432, 0.6912)  2 S 2.18-2.30
Se (0.7432, 0.5692, 0.1912)  2 S 2.18-2.30
Se (0.8572, 0.2761, 0.5552)  1 S 2.15
S (0.1541, 0.1844, 0.5881)  1 Se 2.15, 1 P 2.17
S (0.1844, 0.1541, 0.0881)  1 Se 2.15, 1 P 2.17
S (0.2523, 0.7596, 0.7019)  1 P 2.15, 1 Se 2.30
S (0.2671, 0.7554, 0.3367)  1 P 1.97
S (0.7554, 0.2671, 0.8367)  1 P 1.97
S (0.7596, 0.2523, 0.2019)  1 P 2.15, 1 Se 2.30
S (0.7796, 0.8246, 0.9351)  1 P 2.18, 1 Se 2.18
S (0.8246, 0.7796, 0.4351)  1 P 2.18, 1 Se 2.18

---

NpAl2Au9 | PBE-GGA | relaxed

## Properties
* calculated total energy: -4.3403 eV per atom
* space-group type: I4_1/amd, No. 141
* DOS at the Fermi energy: 16.89 states/eV/f.u.
* spin magnetization: 4.4 μB/f.u.

Unit cell a=8.8087 b=8.8087 c=8.8087 alpha=99.15 beta=99.15 gamma=133.00
Last column: nearest neighbours and their distance in Å.
Sites, in units of the cell vectors:
Np (0.3750, 0.6250, 0.7500)  10 Au 3.28-3.51
Np (0.6250, 0.3750, 0.2500)  10 Au 3.28-3.51
Al (0.0000, 0.0000, 0.0000)  8 Au 2.64-2.81
Al (0.0000, 0.0000, 0.5000)  8 Au 2.64-2.81
Al (0.0000, 0.5000, 0.0000)  8 Au 2.64-2.81
Al (0.5000, 0.0000, 0.5000)  8 Au 2.64-2.81
Au (0.1052, 0.5468, 0.3141)  2 Al 2.64-2.81, 5 Au 2.78-2.93
Au (0.1052, 0.7910, 0.5584)  2 Al 2.64-2.81, 5 Au 2.78-2.93
Au (0.1250, 0.8750, 0.2500)  8 Au 2.93, 4 Al 2.99
Au (0.2090, 0.2673, 0.3141)  2 Al 2.64-2.81, 5 Au 2.78-2.93
Au (0.2090, 0.8948, 0.9416)  2 Al 2.64-2.81, 5 Au 2.78-2.93
Au (0.2673, 0.2090, 0.8141)  2 Al 2.64-2.81, 5 Au 2.78-2.93
Au (0.2673, 0.4532, 0.0584)  2 Al 2.64-2.81, 5 Au 2.78-2.93
Au (0.4532, 0.2673, 0.5584)  2 Al 2.64-2.81, 5 Au 2.78-2.93
Au (0.4532, 0.8948, 0.1859)  2 Al 2.64-2.81, 5 Au 2.78-2.93
Au (0.5468, 0.1052, 0.8141)  2 Al 2.64-2.81, 5 Au 2.78-2.93
Au (0.5468, 0.7327, 0.4416)  2 Al 2.64-2.81, 5 Au 2.78-2.93
Au (0.7327, 0.5468, 0.9416)  2 Al 2.64-2.81, 5 Au 2.78-2.93
Au (0.7327, 0.7910, 0.1859)  2 Al 2.64-2.81, 5 Au 2.78-2.93
Au (0.7910, 0.1052, 0.0584)  2 Al 2.64-2.81, 5 Au 2.78-2.93
Au (0.7910, 0.7327, 0.6859)  2 Al 2.64-2.81, 5 Au 2.78-2.93
Au (0.8750, 0.1250, 0.7500)  8 Au 2.93, 4 Al 2.99
Au (0.8948, 0.2090, 0.4416)  2 Al 2.64-2.81, 5 Au 2.78-2.93
Au (0.8948, 0.4532, 0.6859)  2 Al 2.64-2.81, 5 Au 2.78-2.93

---

BaP2Ir | PBE-GGA | relaxed

## Properties
* calculated total energy: -4.8896 eV per atom
* space-group type: Cmmm, No. 65
* DOS at the Fermi energy: 2.50 states/eV/f.u.
* spin magnetization: 0.0 μB/f.u.

Unit cell a=5.9105 b=7.0539 c=4.0404 alpha=90.00 beta=90.00 gamma=90.00
Last column: nearest neighbours and their distance in Å.
Sites, in units of the cell vectors:
Ba (0.0000, 0.0000, 0.0000)  2 Ir 2.96, 8 P 3.06
Ba (0.5000, 0.5000, 0.0000)  2 Ir 2.96, 8 P 3.06
P (0.2500, 0.2500, 0.5000)  2 P 2.96, 4 Ba 3.06, 4 Ir 3.06
P (0.2500, 0.7500, 0.5000)  2 P 2.96, 4 Ba 3.06, 4 Ir 3.06
P (0.7500, 0.2500, 0.5000)  2 P 2.96, 4 Ba 3.06, 4 Ir 3.06
P (0.7500, 0.7500, 0.5000)  2 P 2.96, 4 Ba 3.06, 4 Ir 3.06
Ir (0.0000, 0.5000, 0.0000)  2 Ba 2.96, 8 P 3.06
Ir (0.5000, 0.0000, 0.0000)  2 Ba 2.96, 8 P 3.06

---

- Which of these has the highest calculated total energy?
  BeSe2IN